Compound: MgFeI2O
Source: the Alexandria database
Functional: PBE+U
Structure: relaxed

The structure in CIF format:
```
data_MgFeI2O
_cell_length_a 5.7767
_cell_length_b 5.7767
_cell_length_c 3.7929
_cell_angle_alpha 90.00
_cell_angle_beta 90.00
_cell_angle_gamma 90.00
_symmetry_space_group_name_H-M 'P 4/m m m'
_symmetry_Int_Tables_number 123
_symmetry_space_group_name_Hall '-P 4 2'
loop_
_atom_site_label
_atom_site_fract_x
_atom_site_fract_y
_atom_site_fract_z
Mg1 0.0000 0.0000 0.0000
Fe1 0.5000 0.5000 0.5000
I1 0.0000 0.5000 0.0000
O1 0.0000 0.0000 0.5000
```

Results
Energy above the lowest structure with this stoichiometry = 0.69 eV/f.u.
E = -3.40 eV per atom